# CePm2Zn2Pb2 | Alexandria via LeMat-Bulk | GGA-PBE | relaxed
data_CePm2Zn2Pb2
_cell_length_a 4.8345
_cell_length_b 4.8345
_cell_length_c 28.4477
_cell_angle_alpha 90.00
_cell_angle_beta 90.00
_cell_angle_gamma 120.00
_symmetry_space_group_name_H-M 'R -3 m'
_symmetry_Int_Tables_number 166
_symmetry_space_group_name_Hall '-R 3 2"'
loop_
_atom_site_label
_atom_site_type_symbol
_atom_site_fract_x
_atom_site_fract_y
_atom_site_fract_z
Ce1 Ce 0.0000 0.0000 0.0000
Pm1 Pm 0.0000 0.0000 0.1314
Zn1 Zn 0.0000 0.0000 0.4242
Pb1 Pb 0.0000 0.0000 0.2695
# Total magnetization: 0.182 μB/atom
# Energy relative to the elements: -0.180 eV/atom

=====

# Sm5YEr12 | Alexandria via LeMat-Bulk | GGA-PBE | relaxed
data_Sm5YEr12
_cell_length_a 11.231
_cell_length_b 17.244
_cell_length_c 5.915
_cell_angle_alpha 90.00
_cell_angle_beta 90.14
_cell_angle_gamma 90.00
_symmetry_space_group_name_H-M 'C 1 2/m 1'
_symmetry_Int_Tables_number 12
loop_
_symmetry_equiv_pos_as_xyz
'x,y,z'
'-x,-y,-z'
'-x,y,-z'
'x,-y,z'
'x+1/2,y+1/2,z'
'-x+1/2,-y+1/2,-z'
'-x+1/2,y+1/2,-z'
'x+1/2,-y+1/2,z'
loop_
_atom_site_label
_atom_site_type_symbol
_atom_site_fract_x
_atom_site_fract_y
_atom_site_fract_z
Sm1 Sm 0.000 0.000 0.000
Sm2 Sm 0.000 0.167 0.500
Sm3 Sm 0.000 0.335 0.000
Y1 Y 0.000 0.500 0.500
Er1 Er 0.175 0.167 0.050
Er2 Er 0.176 0.000 0.448
Er3 Er 0.177 0.334 0.450
Er4 Er 0.178 0.500 0.052
# Total magnetization: 0.000 μB/atom
# Energy relative to the elements: 0.110 eV/atom

=====

# MgCr2W | Alexandria via LeMat-Bulk | GGA-PBE | relaxed
data_MgCr2W
_cell_length_a 6.181
_cell_length_b 6.181
_cell_length_c 6.181
_cell_angle_alpha 90.00
_cell_angle_beta 90.00
_cell_angle_gamma 90.00
_symmetry_space_group_name_H-M 'F m -3 m'
_symmetry_Int_Tables_number 225
_symmetry_space_group_name_Hall '-F 4 2 3'
loop_
_atom_site_label
_atom_site_type_symbol
_atom_site_fract_x
_atom_site_fract_y
_atom_site_fract_z
Mg1 Mg 0.000 0.000 0.000
Cr1 Cr 0.250 0.250 0.250
W1 W 0.000 0.000 0.500
# Total magnetization: 0.961 μB/atom
# Energy relative to the elements: 0.375 eV/atom
# Distance to the lowest polymorph of the same formula: 48 meV/atom

=====

# Pu2Sc2Bi2C | Alexandria via LeMat-Bulk | GGA-PBE | relaxed
data_Pu2Sc2Bi2C
_cell_length_a 4.634
_cell_length_b 4.634
_cell_length_c 15.943
_cell_angle_alpha 90.00
_cell_angle_beta 90.00
_cell_angle_gamma 90.00
_symmetry_space_group_name_H-M 'I 4/m m m'
_symmetry_Int_Tables_number 139
_symmetry_space_group_name_Hall '-I 4 2'
loop_
_atom_site_label
_atom_site_type_symbol
_atom_site_fract_x
_atom_site_fract_y
_atom_site_fract_z
Pu1 Pu 0.000 0.000 0.154
Sc1 Sc 0.000 0.500 0.000
Bi1 Bi 0.000 0.000 0.364
C1 C 0.000 0.000 0.000
# Total magnetization: 1.696 μB/atom
# Energy relative to the elements: -0.581 eV/atom

=====

# La2Tb6Y | Alexandria via LeMat-Bulk | GGA-PBE | relaxed
data_La2Tb6Y
_cell_length_a 10.798
_cell_length_b 17.755
_cell_length_c 6.247
_cell_angle_alpha 90.00
_cell_angle_beta 94.76
_cell_angle_gamma 90.00
_symmetry_space_group_name_H-M 'C 1 2/c 1'
_symmetry_Int_Tables_number 15
loop_
_symmetry_equiv_pos_as_xyz
'x,y,z'
'-x,-y,-z'
'-x,y,-z+1/2'
'x,-y,z+1/2'
'x+1/2,y+1/2,z'
'-x+1/2,-y+1/2,-z'
'-x+1/2,y+1/2,-z+1/2'
'x+1/2,-y+1/2,z+1/2'
loop_
_atom_site_label
_atom_site_type_symbol
_atom_site_fract_x
_atom_site_fract_y
_atom_site_fract_z
La1 La 0.250 0.105 0.001
Tb1 Tb 0.090 0.075 0.498
Tb2 Tb 0.090 0.426 0.497
Tb3 Tb 0.153 0.250 0.287
Y1 Y 0.000 0.250 0.750
# Total magnetization: 0.000 μB/atom
# Energy relative to the elements: 0.103 eV/atom
# Distance to the lowest polymorph of the same formula: 0 meV/atom

=====

# CsHfN2O | Alexandria via LeMat-Bulk | GGA-PBE | relaxed
data_CsHfN2O
_cell_length_a 4.474
_cell_length_b 4.474
_cell_length_c 4.220
_cell_angle_alpha 90.00
_cell_angle_beta 90.00
_cell_angle_gamma 90.00
_symmetry_space_group_name_H-M 'P 4/m m m'
_symmetry_Int_Tables_number 123
_symmetry_space_group_name_Hall '-P 4 2'
loop_
_atom_site_label
_atom_site_type_symbol
_atom_site_fract_x
_atom_site_fract_y
_atom_site_fract_z
Cs1 Cs 0.000 0.000 0.000
Hf1 Hf 0.500 0.500 0.500
N1 N 0.000 0.500 0.000
O1 O 0.000 0.000 0.500
# Formation energy from raw total energies: 1976 meV/atom
# Total magnetization: 0.000 μB/atom

=====

# NaCdAgCl4 | Alexandria via LeMat-Bulk | GGA-PBE | relaxed
data_NaCdAgCl4
_cell_length_a 7.979
_cell_length_b 8.064
_cell_length_c 11.330
_cell_angle_alpha 90.00
_cell_angle_beta 90.00
_cell_angle_gamma 90.00
_symmetry_space_group_name_H-M 'I m m a'
_symmetry_Int_Tables_number 74
_symmetry_space_group_name_Hall '-I 2b 2'
loop_
_atom_site_label
_atom_site_type_symbol
_atom_site_fract_x
_atom_site_fract_y
_atom_site_fract_z
Na1 Na 0.250 0.250 0.250
Cd1 Cd 0.000 0.000 0.000
Ag1 Ag 0.000 0.250 0.640
Cl1 Cl 0.000 0.013 0.230
Cl2 Cl 0.231 0.250 0.999
# Formation energy from raw total energies: -1114 meV/atom
# Total magnetization: 0.000 μB/atom

=====

# TmUSe2N | Alexandria via LeMat-Bulk | GGA-PBE | relaxed
data_TmUSe2N
_cell_length_a 3.897
_cell_length_b 3.897
_cell_length_c 14.345
_cell_angle_alpha 90.00
_cell_angle_beta 90.00
_cell_angle_gamma 90.00
_symmetry_space_group_name_H-M 'P 4/n m m'
_symmetry_Int_Tables_number 129
loop_
_symmetry_equiv_pos_as_xyz
'x,y,z'
'-x,-y,-z'
'-y+1/2,x,z'
'y+1/2,-x,-z'
'-x+1/2,-y+1/2,z'
'x+1/2,y+1/2,-z'
'y,-x+1/2,z'
'-y,x+1/2,-z'
'x+1/2,-y,-z'
'-x+1/2,y,z'
'-y,-x,-z'
'y,x,z'
'-x,y+1/2,-z'
'x,-y+1/2,z'
'y+1/2,x+1/2,-z'
'-y+1/2,-x+1/2,z'
loop_
_atom_site_label
_atom_site_type_symbol
_atom_site_fract_x
_atom_site_fract_y
_atom_site_fract_z
Tm1 Tm 0.250 0.250 0.120
U1 U 0.250 0.250 0.580
Se1 Se 0.250 0.250 0.309
Se2 Se 0.250 0.250 0.910
N1 N 0.250 0.750 0.500
# Formation energy from raw total energies: -1610 meV/atom
# Total magnetization: 0.345 μB/atom

=====

# Hg3Pd13 | Alexandria via LeMat-Bulk | GGA-PBE | relaxed
data_Hg3Pd13
_cell_length_a 8.019
_cell_length_b 8.061
_cell_length_c 8.103
_cell_angle_alpha 90.00
_cell_angle_beta 90.00
_cell_angle_gamma 90.00
_symmetry_space_group_name_H-M 'A m m 2'
_symmetry_Int_Tables_number 38
loop_
_symmetry_equiv_pos_as_xyz
'x,y,z'
'-x,-y,z'
'-x,y,z'
'x,-y,z'
'x,y+1/2,z+1/2'
'-x,-y+1/2,z+1/2'
'-x,y+1/2,z+1/2'
'x,-y+1/2,z+1/2'
loop_
_atom_site_label
_atom_site_type_symbol
_atom_site_fract_x
_atom_site_fract_y
_atom_site_fract_z
Hg1 Hg 0.000 0.000 0.000
Hg2 Hg 0.257 0.000 0.270
Pd1 Pd 0.000 0.000 0.519
Pd2 Pd 0.000 0.248 0.260
Pd3 Pd 0.252 0.000 0.760
Pd4 Pd 0.252 0.250 0.015
Pd5 Pd 0.500 0.000 0.009
Pd6 Pd 0.500 0.000 0.521
Pd7 Pd 0.500 0.244 0.765
# Total magnetization: 0.000 μB/atom
# Energy relative to the elements: -0.065 eV/atom

=====

# AcSm3 | Alexandria via LeMat-Bulk | GGA-PBE | relaxed
data_AcSm3
_cell_length_a 5.280
_cell_length_b 5.280
_cell_length_c 10.464
_cell_angle_alpha 90.00
_cell_angle_beta 90.00
_cell_angle_gamma 90.00
_symmetry_space_group_name_H-M 'I 4/m m m'
_symmetry_Int_Tables_number 139
_symmetry_space_group_name_Hall '-I 4 2'
loop_
_atom_site_label
_atom_site_type_symbol
_atom_site_fract_x
_atom_site_fract_y
_atom_site_fract_z
Ac1 Ac 0.000 0.000 0.000
Sm1 Sm 0.000 0.000 0.500
Sm2 Sm 0.000 0.500 0.250
# Total magnetization: 0.000 μB/atom
# Energy relative to the elements: 0.041 eV/atom

=====

# NaMgScGa2 | Alexandria via LeMat-Bulk | GGA-PBE | relaxed
data_NaMgScGa2
_cell_length_a 4.971
_cell_length_b 4.971
_cell_length_c 4.865
_cell_angle_alpha 90.00
_cell_angle_beta 90.00
_cell_angle_gamma 90.00
_symmetry_space_group_name_H-M 'P 4/m m m'
_symmetry_Int_Tables_number 123
_symmetry_space_group_name_Hall '-P 4 2'
loop_
_atom_site_label
_atom_site_type_symbol
_atom_site_fract_x
_atom_site_fract_y
_atom_site_fract_z
Na1 Na 0.000 0.000 0.000
Mg1 Mg 0.000 0.000 0.500
Sc1 Sc 0.500 0.500 0.500
Ga1 Ga 0.000 0.500 0.000
# Total magnetization: 0.000 μB/atom
# Energy relative to the elements: 0.579 eV/atom

=====

# BaReMo2 | Alexandria via LeMat-Bulk | GGA-PBE | relaxed
data_BaReMo2
_cell_length_a 3.1308
_cell_length_b 3.1308
_cell_length_c 29.6805
_cell_angle_alpha 90.00
_cell_angle_beta 90.00
_cell_angle_gamma 120.00
_symmetry_space_group_name_H-M 'R -3 m'
_symmetry_Int_Tables_number 166
_symmetry_space_group_name_Hall '-R 3 2"'
loop_
_atom_site_label
_atom_site_type_symbol
_atom_site_fract_x
_atom_site_fract_y
_atom_site_fract_z
Ba1 Ba 0.0000 0.0000 0.0000
Re1 Re 0.0000 0.0000 0.5000
Mo1 Mo 0.0000 0.0000 0.2299
# Total magnetization: 0.000 μB/atom
# Energy relative to the elements: 1.004 eV/atom
# Distance to the lowest polymorph of the same formula: 257 meV/atom

=====

# SmPuTh2N4 | Alexandria via LeMat-Bulk | GGA-PBE | relaxed
data_SmPuTh2N4
_cell_length_a 6.227
_cell_length_b 3.626
_cell_length_c 6.268
_cell_angle_alpha 90.00
_cell_angle_beta 109.76
_cell_angle_gamma 90.00
_symmetry_space_group_name_H-M 'P 1 2/m 1'
_symmetry_Int_Tables_number 10
loop_
_symmetry_equiv_pos_as_xyz
'x,y,z'
'-x,-y,-z'
'-x,y,-z'
'x,-y,z'
loop_
_atom_site_label
_atom_site_type_symbol
_atom_site_fract_x
_atom_site_fract_y
_atom_site_fract_z
Sm1 Sm 0.000 0.000 0.000
Pu1 Pu 0.000 0.500 0.500
Th1 Th 0.500 0.000 0.500
Th2 Th 0.500 0.500 0.000
N1 N 0.248 0.000 0.745
N2 N 0.255 0.500 0.254
# Formation energy from raw total energies: -1467 meV/atom
# Total magnetization: 0.671 μB/atom

=====

# TbCePb | Alexandria via LeMat-Bulk | GGA-PBE | relaxed
data_TbCePb
_cell_length_a 5.3934
_cell_length_b 5.3934
_cell_length_c 3.6456
_cell_angle_alpha 90.00
_cell_angle_beta 90.00
_cell_angle_gamma 120.00
_symmetry_space_group_name_H-M 'P 3 m 1'
_symmetry_Int_Tables_number 156
loop_
_symmetry_equiv_pos_as_xyz
'x,y,z'
'-y,x-y,z'
'-x+y,-x,z'
'-y,-x,z'
'-x+y,y,z'
'x,x-y,z'
loop_
_atom_site_label
_atom_site_type_symbol
_atom_site_fract_x
_atom_site_fract_y
_atom_site_fract_z
Tb1 Tb 0.0000 0.0000 0.0000
Ce1 Ce 0.3333 0.6667 0.4473
Pb1 Pb 0.6667 0.3333 0.7959
# Total magnetization: 0.601 μB/atom
# Energy relative to the elements: -0.149 eV/atom
# Distance to the lowest polymorph of the same formula: 276 meV/atom

=====

# GePdI2O | Alexandria via LeMat-Bulk | GGA-PBE | relaxed
data_GePdI2O
_cell_length_a 5.706
_cell_length_b 5.706
_cell_length_c 3.669
_cell_angle_alpha 90.00
_cell_angle_beta 90.00
_cell_angle_gamma 90.00
_symmetry_space_group_name_H-M 'P 4/m m m'
_symmetry_Int_Tables_number 123
_symmetry_space_group_name_Hall '-P 4 2'
loop_
_atom_site_label
_atom_site_type_symbol
_atom_site_fract_x
_atom_site_fract_y
_atom_site_fract_z
Ge1 Ge 0.000 0.000 0.000
Pd1 Pd 0.500 0.500 0.500
I1 I 0.000 0.500 0.000
O1 O 0.000 0.000 0.500
# Formation energy from raw total energies: 15 meV/atom
# Total magnetization: 0.084 μB/atom
# Distance to the lowest polymorph of the same formula: 0 meV/atom

=====

# NbGeN3 | Alexandria via LeMat-Bulk | GGA-PBE | relaxed
data_NbGeN3
_cell_length_a 3.721
_cell_length_b 3.721
_cell_length_c 3.721
_cell_angle_alpha 90.00
_cell_angle_beta 90.00
_cell_angle_gamma 90.00
_symmetry_space_group_name_H-M 'P m -3 m'
_symmetry_Int_Tables_number 221
_symmetry_space_group_name_Hall '-P 4 2 3'
loop_
_atom_site_label
_atom_site_type_symbol
_atom_site_fract_x
_atom_site_fract_y
_atom_site_fract_z
Nb1 Nb 0.000 0.000 0.000
Ge1 Ge 0.500 0.500 0.500
N1 N 0.000 0.500 0.500
# Formation energy from raw total energies: 828 meV/atom
# Total magnetization: 0.000 μB/atom

=====

# Na2TlAs | Alexandria via LeMat-Bulk | GGA-PBE | relaxed
data_Na2TlAs
_cell_length_a 4.676
_cell_length_b 4.676
_cell_length_c 20.332
_cell_angle_alpha 90.00
_cell_angle_beta 90.00
_cell_angle_gamma 90.00
_symmetry_space_group_name_H-M 'I -4 2 d'
_symmetry_Int_Tables_number 122
_symmetry_space_group_name_Hall 'I -4 2bw'
loop_
_atom_site_label
_atom_site_type_symbol
_atom_site_fract_x
_atom_site_fract_y
_atom_site_fract_z
Na1 Na 0.215 0.250 0.125
Tl1 Tl 0.000 0.000 0.500
As1 As 0.000 0.000 0.000
# Total magnetization: 0.000 μB/atom
# Energy relative to the elements: 0.001 eV/atom

=====

# SrZrRu2 | Alexandria via LeMat-Bulk | GGA-PBE | relaxed
data_SrZrRu2
_cell_length_a 3.3400
_cell_length_b 3.3400
_cell_length_c 25.6563
_cell_angle_alpha 90.00
_cell_angle_beta 90.00
_cell_angle_gamma 120.00
_symmetry_space_group_name_H-M 'R -3 m'
_symmetry_Int_Tables_number 166
_symmetry_space_group_name_Hall '-R 3 2"'
loop_
_atom_site_label
_atom_site_type_symbol
_atom_site_fract_x
_atom_site_fract_y
_atom_site_fract_z
Sr1 Sr 0.0000 0.0000 0.0000
Zr1 Zr 0.0000 0.0000 0.5000
Ru1 Ru 0.0000 0.0000 0.2399
# Total magnetization: 0.000 μB/atom
# Energy relative to the elements: 0.280 eV/atom

=====

# MgTaAl2 | Alexandria via LeMat-Bulk | GGA-PBE | relaxed
data_MgTaAl2
_cell_length_a 9.491
_cell_length_b 2.911
_cell_length_c 5.301
_cell_angle_alpha 90.00
_cell_angle_beta 100.18
_cell_angle_gamma 90.00
_symmetry_space_group_name_H-M 'C 1 2/m 1'
_symmetry_Int_Tables_number 12
loop_
_symmetry_equiv_pos_as_xyz
'x,y,z'
'-x,-y,-z'
'-x,y,-z'
'x,-y,z'
'x+1/2,y+1/2,z'
'-x+1/2,-y+1/2,-z'
'-x+1/2,y+1/2,-z'
'x+1/2,-y+1/2,z'
loop_
_atom_site_label
_atom_site_type_symbol
_atom_site_fract_x
_atom_site_fract_y
_atom_site_fract_z
Mg1 Mg 0.000 0.000 0.000
Ta1 Ta 0.000 0.500 0.500
Al1 Al 0.246 0.000 0.721
# Total magnetization: 0.000 μB/atom
# Energy relative to the elements: 0.035 eV/atom

=====

# Ca2AsRuN | Alexandria via LeMat-Bulk | GGA-PBE | relaxed
data_Ca2AsRuN
_cell_length_a 4.942
_cell_length_b 4.942
_cell_length_c 3.846
_cell_angle_alpha 90.00
_cell_angle_beta 90.00
_cell_angle_gamma 90.00
_symmetry_space_group_name_H-M 'P 4/m m m'
_symmetry_Int_Tables_number 123
_symmetry_space_group_name_Hall '-P 4 2'
loop_
_atom_site_label
_atom_site_type_symbol
_atom_site_fract_x
_atom_site_fract_y
_atom_site_fract_z
Ca1 Ca 0.000 0.500 0.000
As1 As 0.000 0.000 0.500
Ru1 Ru 0.500 0.500 0.500
N1 N 0.500 0.500 0.000
# Formation energy from raw total energies: -652 meV/atom
# Total magnetization: 0.000 μB/atom

=====

Asked for V across the records above, the calculation gives 27.4; 31.8; 14.8; 24.5; 33.2; 16.9; 26.0; 21.8; 16.4; 36.5; 24.0; 21.0; 16.6; 30.6; 23.9; 10.3; 27.8; 20.7; 18.0; 18.8 A^3/atom in order.
Asked for Fermi-level density of states across the records above, the calculation gives 12.42; 33.98; 4.46; 18.39; 12.64; 3.46; 0.00; 6.20; 26.52; 6.37; 2.32; 5.45; 7.94; 7.57; 4.92; 1.29; 2.83; 3.37; 2.02; 2.00 states/eV/f.u. in order.